[1]
Below is PrSm3S4 at its PBEsol-relaxed geometry, with properties calculated at the meta-GGA SCAN level.

Values from the calculation:
**E**: -233.4 eV per cell

Cell: 3.9632 3.9632 13.2737 Å, 81.41 81.41 60.00°
Last column: nearest neighbours and their distance in Å.
Element x y z (fractional)
Pr  0.0000  0.0000  0.0000  6 S 2.86
S  0.3771  0.3771  0.8688  3 Sm 2.79, 3 Pr 2.86
S  0.1256  0.1256  0.6233  6 Sm 2.80
S  0.6229  0.6229  0.1312  3 Sm 2.79, 3 Pr 2.86
S  0.8744  0.8744  0.3767  6 Sm 2.80
Sm  0.2490  0.2490  0.2531  6 S 2.79-2.80
Sm  0.5000  0.5000  0.5000  6 S 2.80
Sm  0.7510  0.7510  0.7469  6 S 2.79-2.80

[2]
Below is Pr2ThS5 at its PBEsol-relaxed geometry, with properties calculated at the meta-GGA SCAN level.

Values from the calculation:
**E**: -997.8 eV per cell

Cell: 7.5032 8.1925 11.9036 Å, 90.00 90.00 90.00°
Last column: nearest neighbours and their distance in Å.
Element x y z (fractional)
Pr  0.4778  0.4996  0.3226  8 S 2.87-3.07
Pr  0.0222  0.0004  0.8226  8 S 2.87-3.07
Pr  0.5222  0.9996  0.6774  8 S 2.87-3.07
Pr  0.9778  0.5004  0.1774  8 S 2.87-3.07
Pr  0.5222  0.5004  0.6774  8 S 2.87-3.07
Pr  0.9778  0.9996  0.1774  8 S 2.87-3.07
Pr  0.4778  0.0004  0.3226  8 S 2.87-3.07
Pr  0.0222  0.4996  0.8226  8 S 2.87-3.07
Th  0.9229  0.2500  0.4898  7 S 2.72-2.87
Th  0.5771  0.2500  0.9898  7 S 2.72-2.87
Th  0.0771  0.7500  0.5102  7 S 2.72-2.87
Th  0.4229  0.7500  0.0102  7 S 2.72-2.87
S  0.1639  0.0450  0.5986  2 Th 2.72-2.79, 2 Pr 2.87-2.89
S  0.3361  0.4550  0.0986  2 Th 2.72-2.79, 2 Pr 2.87-2.89
S  0.8361  0.5450  0.4014  2 Th 2.72-2.79, 2 Pr 2.87-2.89
S  0.6639  0.9550  0.9014  2 Th 2.72-2.79, 2 Pr 2.87-2.89
S  0.8361  0.9550  0.4014  2 Th 2.72-2.79, 2 Pr 2.87-2.89
S  0.6639  0.5450  0.9014  2 Th 2.72-2.79, 2 Pr 2.87-2.89
S  0.1639  0.4550  0.5986  2 Th 2.72-2.79, 2 Pr 2.87-2.89
S  0.3361  0.0450  0.0986  2 Th 2.72-2.79, 2 Pr 2.87-2.89
S  0.1723  0.2500  0.3125  1 Th 2.82, 4 Pr 2.99-3.07
S  0.3277  0.2500  0.8125  1 Th 2.82, 4 Pr 2.99-3.07
S  0.8277  0.7500  0.6875  1 Th 2.82, 4 Pr 2.99-3.07
S  0.6723  0.7500  0.1875  1 Th 2.82, 4 Pr 2.99-3.07
S  0.5402  0.2500  0.4994  1 Th 2.87, 4 Pr 2.95-2.97
S  0.9598  0.2500  0.9994  1 Th 2.87, 4 Pr 2.95-2.97
S  0.4598  0.7500  0.5006  1 Th 2.87, 4 Pr 2.95-2.97
S  0.0402  0.7500  0.0006  1 Th 2.87, 4 Pr 2.95-2.97
S  0.7996  0.2500  0.7182  1 Th 2.87, 4 Pr 2.92-2.96
S  0.7004  0.2500  0.2182  1 Th 2.87, 4 Pr 2.92-2.96
S  0.2004  0.7500  0.2818  1 Th 2.87, 4 Pr 2.92-2.96
S  0.2996  0.7500  0.7818  1 Th 2.87, 4 Pr 2.92-2.96

[3]
Below is Pr4Tm11S22 at its PBEsol-relaxed geometry, with properties calculated at the meta-GGA SCAN level.

Values from the calculation:
**E**: -1043.6 eV per cell

Cell: 3.8763 11.1742 19.2885 Å, 91.64 95.77 90.00°
Last column: nearest neighbours and their distance in Å.
Element x y z (fractional)
Pr  0.8953  0.9871  0.7907  8 S 2.88-3.00
Pr  0.1047  0.0129  0.2093  8 S 2.88-3.00
Pr  0.6323  0.6484  0.2645  8 S 2.88-3.21
Pr  0.3677  0.3516  0.7355  8 S 2.88-3.21
Tm  0.2025  0.9408  0.4049  7 S 2.65-2.83
Tm  0.7975  0.0592  0.5951  7 S 2.65-2.83
Tm  0.5381  0.7312  0.0763  6 S 2.61-2.71
Tm  0.4619  0.2688  0.9237  6 S 2.61-2.71
Tm  0.3419  0.7003  0.6837  6 S 2.60-2.72
Tm  0.6581  0.2997  0.3163  6 S 2.60-2.72
Tm  0.7360  0.6479  0.4721  6 S 2.61-2.71
Tm  0.2640  0.3521  0.5279  6 S 2.61-2.71
Tm  0.9294  0.6402  0.8588  6 S 2.62-2.70
Tm  0.0706  0.3598  0.1412  6 S 2.62-2.70
Tm  0.0000  0.0000  0.0000  6 S 2.67-2.69
S  0.9128  0.2447  0.8257  2 Tm 2.71, 3 Pr 2.88-2.94
S  0.0872  0.7553  0.1743  2 Tm 2.71, 3 Pr 2.88-2.94
S  0.8111  0.3094  0.6222  3 Tm 2.70-2.83, 2 Pr 2.94
S  0.1889  0.6906  0.3778  3 Tm 2.70-2.83, 2 Pr 2.94
S  0.7200  0.4103  0.4399  4 Tm 2.64-2.71
S  0.2800  0.5897  0.5601  4 Tm 2.64-2.71
S  0.5578  0.5098  0.1156  3 Tm 2.61-2.62
S  0.4422  0.4902  0.8844  3 Tm 2.61-2.62
S  0.8640  0.5494  0.7281  3 Tm 2.68-2.72, 2 Pr 2.95
S  0.1360  0.4506  0.2719  3 Tm 2.68-2.72, 2 Pr 2.95
S  0.4072  0.7878  0.8144  3 Tm 2.67-2.70
S  0.5928  0.2122  0.1856  3 Tm 2.67-2.70
S  0.5469  0.9707  0.0937  3 Tm 2.67-2.69, 2 Pr 2.97
S  0.4531  0.0293  0.9063  3 Tm 2.67-2.69, 2 Pr 2.97
S  0.6504  0.9060  0.3007  2 Tm 2.80, 3 Pr 2.89-2.94
S  0.3496  0.0940  0.6993  2 Tm 2.80, 3 Pr 2.89-2.94
S  0.8306  0.8497  0.6612  3 Tm 2.60-2.69, 1 Pr 2.88
S  0.1694  0.1503  0.3388  3 Tm 2.60-2.69, 1 Pr 2.88
S  0.9915  0.7603  0.9831  4 Tm 2.66-2.70
S  0.0085  0.2397  0.0169  4 Tm 2.66-2.70
S  0.7456  0.8801  0.4913  4 Tm 2.61-2.78
S  0.2544  0.1199  0.5087  4 Tm 2.61-2.78

[4]
Below is PrTmS3 at its PBEsol-relaxed geometry, with properties calculated at the meta-GGA SCAN level.

Values from the calculation:
**E**: -1087.5 eV per cell

Cell: 3.9152 10.8647 21.2470 Å, 101.79 90.00 90.00°
Last column: nearest neighbours and their distance in Å.
Element x y z (fractional)
Pr  0.2500  0.3049  0.2349  7 S 2.86-3.00
Pr  0.7500  0.6951  0.7651  7 S 2.86-3.00
Pr  0.2500  0.9103  0.1356  7 S 2.82-3.02
Pr  0.7500  0.0897  0.8644  7 S 2.82-3.02
Pr  0.2500  0.6928  0.2658  8 S 2.89-2.93
Pr  0.7500  0.3072  0.7342  8 S 2.89-2.93
Pr  0.2500  0.7969  0.4628  8 S 2.85-3.10
Pr  0.7500  0.2031  0.5372  8 S 2.85-3.10
Tm  0.2500  0.5536  0.5833  6 S 2.57-2.74
Tm  0.7500  0.4464  0.4167  6 S 2.57-2.74
Tm  0.2500  0.9709  0.6480  6 S 2.61-2.75
Tm  0.7500  0.0291  0.3520  6 S 2.61-2.75
Tm  0.2500  0.8199  0.9535  7 S 2.67-2.89
Tm  0.7500  0.1801  0.0465  7 S 2.67-2.89
Tm  0.2500  0.4778  0.9127  7 S 2.68-2.87
Tm  0.7500  0.5222  0.0873  7 S 2.68-2.87
S  0.2500  0.0842  0.9637  3 Tm 2.70-2.84, 2 Pr 2.89
S  0.7500  0.9158  0.0363  3 Tm 2.70-2.84, 2 Pr 2.89
S  0.2500  0.2066  0.6353  1 Tm 2.63, 4 Pr 2.85-2.92
S  0.7500  0.7934  0.3647  1 Tm 2.63, 4 Pr 2.85-2.92
S  0.2500  0.7473  0.6761  2 Tm 2.57-2.62, 2 Pr 2.86
S  0.7500  0.2527  0.3239  2 Tm 2.57-2.62, 2 Pr 2.86
S  0.2500  0.6383  0.0355  4 Tm 2.68-2.89
S  0.7500  0.3617  0.9645  4 Tm 2.68-2.89
S  0.2500  0.5046  0.7810  1 Tm 2.87, 4 Pr 2.92, 1 S 3.10
S  0.7500  0.4954  0.2190  1 Tm 2.87, 4 Pr 2.92, 1 S 3.10
S  0.2500  0.2516  0.8270  1 Tm 2.74, 4 Pr 2.85-2.93
S  0.7500  0.7484  0.1730  1 Tm 2.74, 4 Pr 2.85-2.93
S  0.2500  0.8738  0.8364  1 Tm 2.67, 2 Pr 2.95
S  0.7500  0.1262  0.1636  1 Tm 2.67, 2 Pr 2.95
S  0.2500  0.3558  0.4852  3 Tm 2.67-2.74, 2 Pr 2.92
S  0.7500  0.6442  0.5148  3 Tm 2.67-2.74, 2 Pr 2.92
S  0.2500  0.0582  0.4451  2 Tm 2.75, 3 Pr 2.94-2.98
S  0.7500  0.9418  0.5549  2 Tm 2.75, 3 Pr 2.94-2.98
S  0.2500  0.9641  0.2711  2 Tm 2.61, 1 Pr 2.82
S  0.7500  0.0359  0.7289  2 Tm 2.61, 1 Pr 2.82
S  0.2500  0.5441  0.3641  2 Tm 2.59, 1 Pr 2.89
S  0.7500  0.4559  0.6359  2 Tm 2.59, 1 Pr 2.89
S  0.2500  0.3433  0.0992  4 Tm 2.72-2.81, 1 Pr 3.00
S  0.7500  0.6567  0.9008  4 Tm 2.72-2.81, 1 Pr 3.00

[5]
Below is Pr2US5 at its PBEsol-relaxed geometry, with properties calculated at the meta-GGA SCAN level.

Values from the calculation:
**E**: -1020.3 eV per cell

Cell: 7.4071 8.0071 11.7445 Å, 90.00 90.00 90.00°
Last column: nearest neighbours and their distance in Å.
Element x y z (fractional)
Pr  0.4687  0.4991  0.3237  8 S 2.89-3.01
Pr  0.0313  0.0009  0.8237  8 S 2.89-3.01
Pr  0.5313  0.9991  0.6763  8 S 2.89-3.01
Pr  0.9687  0.5009  0.1763  8 S 2.89-3.01
Pr  0.5313  0.5009  0.6763  8 S 2.89-3.01
Pr  0.9687  0.9991  0.1763  8 S 2.89-3.01
Pr  0.4687  0.0009  0.3237  8 S 2.89-3.01
Pr  0.0313  0.4991  0.8237  8 S 2.89-3.01
U  0.9298  0.2500  0.4911  7 S 2.63-2.83
U  0.5702  0.2500  0.9911  7 S 2.63-2.83
U  0.0702  0.7500  0.5089  7 S 2.63-2.83
U  0.4298  0.7500  0.0089  7 S 2.63-2.83
S  0.1654  0.0430  0.5912  2 U 2.63-2.68, 2 Pr 2.91-2.92
S  0.3346  0.4570  0.0912  2 U 2.63-2.68, 2 Pr 2.91-2.92
S  0.8346  0.5430  0.4088  2 U 2.63-2.68, 2 Pr 2.91-2.92
S  0.6654  0.9570  0.9088  2 U 2.63-2.68, 2 Pr 2.91-2.92
S  0.8346  0.9570  0.4088  2 U 2.63-2.68, 2 Pr 2.91-2.92
S  0.6654  0.5430  0.9088  2 U 2.63-2.68, 2 Pr 2.91-2.92
S  0.1654  0.4570  0.5912  2 U 2.63-2.68, 2 Pr 2.91-2.92
S  0.3346  0.0430  0.0912  2 U 2.63-2.68, 2 Pr 2.91-2.92
S  0.1649  0.2500  0.3125  1 U 2.73, 4 Pr 2.95-3.01
S  0.3351  0.2500  0.8125  1 U 2.73, 4 Pr 2.95-3.01
S  0.8351  0.7500  0.6875  1 U 2.73, 4 Pr 2.95-3.01
S  0.6649  0.7500  0.1875  1 U 2.73, 4 Pr 2.95-3.01
S  0.5476  0.2500  0.4992  1 U 2.83, 4 Pr 2.89-2.93
S  0.9524  0.2500  0.9992  1 U 2.83, 4 Pr 2.89-2.93
S  0.4524  0.7500  0.5008  1 U 2.83, 4 Pr 2.89-2.93
S  0.0476  0.7500  0.0008  1 U 2.83, 4 Pr 2.89-2.93
S  0.8091  0.2500  0.7141  1 U 2.77, 4 Pr 2.89-2.91
S  0.6909  0.2500  0.2141  1 U 2.77, 4 Pr 2.89-2.91
S  0.1909  0.7500  0.2859  1 U 2.77, 4 Pr 2.89-2.91
S  0.3091  0.7500  0.7859  1 U 2.77, 4 Pr 2.89-2.91

[6]
Below is PrY3S6 at its PBEsol-relaxed geometry, with properties calculated at the meta-GGA SCAN level.

Values from the calculation:
**E**: -417.6 eV per cell

Cell: 3.9462 10.9394 11.2489 Å, 108.77 90.00 90.00°
Last column: nearest neighbours and their distance in Å.
Element x y z (fractional)
Pr  0.2500  0.4505  0.8048  8 S 2.89-3.01
Pr  0.7500  0.5495  0.1952  8 S 2.89-3.01
Y  0.2500  0.8198  0.9981  7 S 2.68-2.89
Y  0.7500  0.1802  0.0019  7 S 2.68-2.89
Y  0.2500  0.0592  0.6676  6 S 2.64-2.75
Y  0.7500  0.9408  0.3324  6 S 2.64-2.75
Y  0.2500  0.3393  0.4138  6 S 2.64-2.76
Y  0.7500  0.6607  0.5862  6 S 2.64-2.76
S  0.2500  0.0195  0.8874  4 Y 2.64-2.84
S  0.7500  0.9805  0.1126  4 Y 2.64-2.84
S  0.2500  0.6958  0.7490  3 Y 2.64-2.69, 1 Pr 2.95
S  0.7500  0.3042  0.2510  3 Y 2.64-2.69, 1 Pr 2.95
S  0.2500  0.1055  0.4422  4 Y 2.68-2.74
S  0.7500  0.8945  0.5578  4 Y 2.68-2.74
S  0.2500  0.5837  0.4053  3 Y 2.71-2.76, 2 Pr 3.01
S  0.7500  0.4163  0.5947  3 Y 2.71-2.76, 2 Pr 3.01
S  0.2500  0.7636  0.2274  3 Y 2.75-2.84, 2 Pr 2.99
S  0.7500  0.2364  0.7726  3 Y 2.75-2.84, 2 Pr 2.99
S  0.2500  0.3812  0.0363  2 Y 2.89, 3 Pr 2.89-2.94
S  0.7500  0.6188  0.9637  2 Y 2.89, 3 Pr 2.89-2.94

[7]
Below is Pr2Sb at its PBEsol-relaxed geometry, with properties calculated at the meta-GGA SCAN level.

Values from the calculation:
**E**: -253.6 eV per cell

Cell: 4.5299 4.5299 9.4283 Å, 103.90 103.90 90.00°
Last column: nearest neighbours and their distance in Å.
Element x y z (fractional)
Pr  0.0000  0.5000  0.0000  4 Pr 3.20, 4 Sb 3.34
Pr  0.5000  0.0000  0.0000  4 Pr 3.20, 4 Sb 3.34
Pr  0.3203  0.3203  0.6406  5 Sb 3.23-3.29
Pr  0.6797  0.6797  0.3594  5 Sb 3.23-3.29
Sb  0.1381  0.1381  0.2761  9 Pr 3.23-3.34
Sb  0.8619  0.8619  0.7239  9 Pr 3.23-3.34